First-principles (PBE with a Hubbard U) data for crystalline CeMoBrO4 at its relaxed geometry, as listed in Alexandria.

Output
* size of the total moment: 1.11 μB per formula unit
* E: -7.12 eV per atom

Unit cell a=10.307 b=6.132 c=7.494 alpha=90.00 beta=90.32 gamma=90.00
Space group P2_1/c (No. 14)
Asymmetric unit:
Ce 0.234 0.205 0.123 (multiplicity 4)
Mo 0.353 0.749 0.374 (multiplicity 4)
Br 0.001 0.245 0.874 (multiplicity 4)
O 0.275 0.035 0.826 (multiplicity 4)
O 0.276 0.035 0.420 (multiplicity 4)
O 0.314 0.653 0.623 (multiplicity 4)
O 0.477 0.242 0.126 (multiplicity 4)